# Er6MgGe2S14 (PBEsol, optimized geometry)
data_Er6MgGe2S14
_cell_length_a 9.6481
_cell_length_b 9.6481
_cell_length_c 5.6584
_cell_angle_alpha 90.00
_cell_angle_beta 90.00
_cell_angle_gamma 120.00
_space_group_name_H-M_alt 'P 3'
_space_group_IT_number 143
_space_group_name_Hall 'P 3'
loop_
_atom_site_label
_atom_site_type_symbol
_atom_site_fract_x
_atom_site_fract_y
_atom_site_fract_z
Er1 Er 0.0264 0.4686 0.0000
Er2 Er 0.3088 0.1978 0.5066
Mg1 Mg 0.6667 0.3333 0.2184
Ge1 Ge 0.0000 0.0000 0.0874
Ge2 Ge 0.3333 0.6667 0.5786
S1 S 0.0000 0.0000 0.7015
S2 S 0.0902 0.2399 0.2506
S3 S 0.1833 0.7562 0.7440
S4 S 0.3333 0.6667 0.1938
S5 S 0.4116 0.2354 0.9726
S6 S 0.5117 0.0783 0.4582
# D(E_F): 0.00 states/eV per atom
# Total magnetization: 0.00 μB per atom
# Uncorrected formation energy: -37.174 eV per formula unit

=====

# ErMn6Ge6 (PBEsol, optimized geometry)
data_ErMn6Ge6
_cell_length_a 5.0783
_cell_length_b 5.0783
_cell_length_c 8.0146
_cell_angle_alpha 90.00
_cell_angle_beta 90.00
_cell_angle_gamma 120.00
_space_group_name_H-M_alt 'P 6/m m m'
_space_group_IT_number 191
_space_group_name_Hall '-P 6 2'
loop_
_atom_site_label
_atom_site_type_symbol
_atom_site_fract_x
_atom_site_fract_y
_atom_site_fract_z
Er1 Er 0.0000 0.0000 0.0000
Mn1 Mn 0.0000 0.5000 0.2502
Ge1 Ge 0.0000 0.0000 0.3438
Ge2 Ge 0.3333 0.6667 0.0000
Ge3 Ge 0.3333 0.6667 0.5000
# D(E_F): 0.48 states/eV per atom
# Total magnetization: 0.86 μB per atom
# Energy of formation from the pure elements: -343 meV per atom

=====

# ErMn2Ge2 (PBEsol, optimized geometry)
data_ErMn2Ge2
_cell_length_a 3.8581
_cell_length_b 3.8581
_cell_length_c 10.6046
_cell_angle_alpha 90.00
_cell_angle_beta 90.00
_cell_angle_gamma 90.00
_space_group_name_H-M_alt 'I 4/m m m'
_space_group_IT_number 139
_space_group_name_Hall '-I 4 2'
loop_
_atom_site_label
_atom_site_type_symbol
_atom_site_fract_x
_atom_site_fract_y
_atom_site_fract_z
Er1 Er 0.0000 0.0000 0.0000
Mn1 Mn 0.0000 0.5000 0.2500
Ge1 Ge 0.0000 0.0000 0.3815
# D(E_F): 0.59 states/eV per atom
# Total magnetization: 0.76 μB per atom
# Energy of formation from the pure elements: -480 meV per atom

=====

# Er6MnGe2S14 (PBEsol, optimized geometry)
data_Er6MnGe2S14
_cell_length_a 9.6077
_cell_length_b 9.6077
_cell_length_c 5.6786
_cell_angle_alpha 90.00
_cell_angle_beta 90.00
_cell_angle_gamma 120.00
_space_group_name_H-M_alt 'P 3'
_space_group_IT_number 143
_space_group_name_Hall 'P 3'
loop_
_atom_site_label
_atom_site_type_symbol
_atom_site_fract_x
_atom_site_fract_y
_atom_site_fract_z
Er1 Er 0.0257 0.4690 0.0000
Er2 Er 0.3091 0.1972 0.5051
Mn1 Mn 0.6667 0.3333 0.2181
Ge1 Ge 0.0000 0.0000 0.0839
Ge2 Ge 0.3333 0.6667 0.5767
S1 S 0.0000 0.0000 0.6995
S2 S 0.0910 0.2406 0.2476
S3 S 0.1829 0.7567 0.7416
S4 S 0.3333 0.6667 0.1930
S5 S 0.4140 0.2361 0.9699
S6 S 0.5138 0.0813 0.4534
# Total magnetization: 0.22 μB per atom
# Uncorrected formation energy: -35.324 eV per formula unit

=====

# NaErGeO4 (PBEsol, optimized geometry)
data_NaErGeO4
_cell_length_a 11.3274
_cell_length_b 6.3597
_cell_length_c 5.2500
_cell_angle_alpha 90.00
_cell_angle_beta 90.00
_cell_angle_gamma 90.00
_space_group_name_H-M_alt 'P n m a'
_space_group_IT_number 62
_space_group_name_Hall '-P 2ac 2n'
loop_
_atom_site_label
_atom_site_type_symbol
_atom_site_fract_x
_atom_site_fract_y
_atom_site_fract_z
Na1 Na 0.0000 0.0000 0.0000
Er1 Er 0.2230 0.2500 0.4929
Ge1 Ge 0.0981 0.7500 0.5518
O1 O 0.0462 0.2500 0.3289
O2 O 0.1119 0.7500 0.2230
O3 O 0.1757 0.5401 0.7080
# D(E_F): 0.00 states/eV per atom
# Total magnetization: 0.00 μB per atom
# Uncorrected formation energy: -17.604 eV per formula unit

=====

# Er2Nb3Ge4 (PBEsol, optimized geometry)
data_Er2Nb3Ge4
_cell_length_a 6.9062
_cell_length_b 13.3787
_cell_length_c 7.0816
_cell_angle_alpha 90.00
_cell_angle_beta 90.00
_cell_angle_gamma 90.00
_space_group_name_H-M_alt 'P n m a'
_space_group_IT_number 62
_space_group_name_Hall '-P 2ac 2n'
loop_
_atom_site_label
_atom_site_type_symbol
_atom_site_fract_x
_atom_site_fract_y
_atom_site_fract_z
Er1 Er 0.0036 0.0948 0.1741
Nb1 Nb 0.1591 0.6265 0.3286
Nb2 Nb 0.1652 0.2500 0.5114
Ge1 Ge 0.0402 0.2500 0.8812
Ge2 Ge 0.1755 0.0412 0.5376
Ge3 Ge 0.1947 0.7500 0.6403
# D(E_F): 0.38 states/eV per atom
# Total magnetization: 0.00 μB per atom
# Energy of formation from the pure elements: -817 meV per atom

=====

# ErNiGe2 (PBEsol, optimized geometry)
data_ErNiGe2
_cell_length_a 4.0972
_cell_length_b 8.3722
_cell_length_c 15.6295
_cell_angle_alpha 90.00
_cell_angle_beta 90.00
_cell_angle_gamma 90.00
_space_group_name_H-M_alt 'I m m m'
_space_group_IT_number 71
_space_group_name_Hall '-I 2 2'
loop_
_atom_site_label
_atom_site_type_symbol
_atom_site_fract_x
_atom_site_fract_y
_atom_site_fract_z
Er1 Er 0.0000 0.0000 0.2044
Er2 Er 0.0000 0.2390 0.0000
Ni1 Ni 0.0000 0.2511 0.3520
Ge1 Ge 0.0000 0.0000 0.4198
Ge2 Ge 0.0000 0.3421 0.1960
Ge3 Ge 0.0000 0.5000 0.4226
# D(E_F): 0.36 states/eV per atom
# Total magnetization: 0.00 μB per atom
# Energy of formation from the pure elements: -764 meV per atom

=====

# ErNi2Ge2 (PBEsol, optimized geometry)
data_ErNi2Ge2
_cell_length_a 3.9890
_cell_length_b 3.9890
_cell_length_c 9.6413
_cell_angle_alpha 90.00
_cell_angle_beta 90.00
_cell_angle_gamma 90.00
_space_group_name_H-M_alt 'I 4/m m m'
_space_group_IT_number 139
_space_group_name_Hall '-I 4 2'
loop_
_atom_site_label
_atom_site_type_symbol
_atom_site_fract_x
_atom_site_fract_y
_atom_site_fract_z
Er1 Er 0.0000 0.0000 0.0000
Ni1 Ni 0.0000 0.5000 0.2500
Ge1 Ge 0.0000 0.0000 0.3724
# D(E_F): 0.70 states/eV per atom
# Total magnetization: 0.00 μB per atom
# Energy of formation from the pure elements: -734 meV per atom

=====

# Er3NiGe2 (PBEsol, optimized geometry)
data_Er3NiGe2
_cell_length_a 11.1288
_cell_length_b 4.0831
_cell_length_c 10.9807
_cell_angle_alpha 90.00
_cell_angle_beta 90.00
_cell_angle_gamma 90.00
_space_group_name_H-M_alt 'P n m a'
_space_group_IT_number 62
_space_group_name_Hall '-P 2ac 2n'
loop_
_atom_site_label
_atom_site_type_symbol
_atom_site_fract_x
_atom_site_fract_y
_atom_site_fract_z
Er1 Er 0.0555 0.2500 0.1276
Er2 Er 0.1195 0.7500 0.5585
Er3 Er 0.2202 0.2500 0.8027
Ni1 Ni 0.1293 0.2500 0.3686
Ge1 Ge 0.0171 0.7500 0.3127
Ge2 Ge 0.1922 0.7500 0.9990
# D(E_F): 0.69 states/eV per atom
# Total magnetization: 0.00 μB per atom
# Energy of formation from the pure elements: -839 meV per atom

=====

# Er2Ge2O7 (PBEsol, optimized geometry)
data_Er2Ge2O7
_cell_length_a 6.7445
_cell_length_b 6.7445
_cell_length_c 12.2677
_cell_angle_alpha 90.00
_cell_angle_beta 90.00
_cell_angle_gamma 90.00
_space_group_name_H-M_alt 'P 41 21 2'
_space_group_IT_number 92
_space_group_name_Hall 'P 4abw 2nw'
loop_
_atom_site_label
_atom_site_type_symbol
_atom_site_fract_x
_atom_site_fract_y
_atom_site_fract_z
Er1 Er 0.1275 0.3546 0.1142
Ge1 Ge 0.1011 0.1508 0.6320
O1 O 0.0351 0.0787 0.8709
O2 O 0.0670 0.6622 0.1790
O3 O 0.1448 0.3214 0.2938
O4 O 0.1977 0.1977 0.5000
# D(E_F): 0.00 states/eV per atom
# Total magnetization: 0.00 μB per atom
# Uncorrected formation energy: -29.453 eV per formula unit

=====

# ErGePd (PBEsol, optimized geometry)
data_ErGePd
_cell_length_a 10.2270
_cell_length_b 4.2742
_cell_length_c 6.8595
_cell_angle_alpha 90.00
_cell_angle_beta 131.87
_cell_angle_gamma 90.00
_space_group_name_H-M_alt 'C 1 2/m 1'
_space_group_IT_number 12
_space_group_name_Hall '-C 2y'
loop_
_atom_site_label
_atom_site_type_symbol
_atom_site_fract_x
_atom_site_fract_y
_atom_site_fract_z
Er1 Er 0.0488 0.0000 0.3093
Ge1 Ge 0.1591 0.5000 0.1001
Pd1 Pd 0.1760 0.5000 0.7259
# D(E_F): 0.40 states/eV per atom
# Total magnetization: 0.00 μB per atom
# Energy of formation from the pure elements: -959 meV per atom

=====

# ErGePd2 (PBEsol, optimized geometry)
data_ErGePd2
_cell_length_a 7.2335
_cell_length_b 7.0239
_cell_length_c 5.4842
_cell_angle_alpha 90.00
_cell_angle_beta 90.00
_cell_angle_gamma 90.00
_space_group_name_H-M_alt 'P n m a'
_space_group_IT_number 62
_space_group_name_Hall '-P 2ac 2n'
loop_
_atom_site_label
_atom_site_type_symbol
_atom_site_fract_x
_atom_site_fract_y
_atom_site_fract_z
Er1 Er 0.0279 0.2500 0.1434
Ge1 Ge 0.1184 0.7500 0.3573
Pd1 Pd 0.1831 0.0514 0.5869
# D(E_F): 0.32 states/eV per atom
# Total magnetization: 0.00 μB per atom
# Energy of formation from the pure elements: -951 meV per atom